No. 1
Below is a relaxed structure of Li2NdScHg4, with properties calculated at the PBE-GGA level.

Output
Volume = 176.74 Å³/f.u.
Uncorrected energy = -58.34 eV/cell

abc: 4.9453 4.9453 25.0345
angles: 90.00 90.00 120.00
Space group R-3m (No. 166, hexagonal axes)
Inequivalent atoms, fractional coordinates:
Li 0.0000 0.0000 0.2456 x6
Nd 0.0000 0.0000 0.0000 x3
Sc 0.0000 0.0000 0.5000 x3
Hg 0.0000 0.0000 0.1292 x6
Hg 0.0000 0.0000 0.3836 x6



No. 2
Below is a relaxed structure of LiNdSiHg, with properties calculated at the PBE-GGA level.

Output
Formation energy without anion corrections = -0.3753 eV per atom
Volume = 89.67 Å³/f.u.
Uncorrected energy = -55.63 eV/cell

abc: 7.105 7.105 7.105
angles: 90.00 90.00 90.00
Space group F-43m (No. 216)
Inequivalent atoms, fractional coordinates:
Li 0.000 0.000 0.000 x4
Nd 0.000 0.000 0.500 x4
Si 0.250 0.250 0.250 x4
Hg 0.250 0.250 0.750 x4



No. 3
Below is a relaxed structure of LiNdSnHg, with properties calculated at the PBE-GGA level.

Output
Volume = 100.44 Å³/f.u.
Uncorrected energy = -52.37 eV/cell

abc: 7.379 7.379 7.379
angles: 90.00 90.00 90.00
Space group F-43m (No. 216)
Inequivalent atoms, fractional coordinates:
Li 0.000 0.000 0.000 x4
Nd 0.000 0.000 0.500 x4
Sn 0.250 0.250 0.250 x4
Hg 0.250 0.250 0.750 x4



Number 1: magnetic moment 0.00 μB/atom. Number 2: magnetic moment 0.00 μB/atom. Number 3: magnetic moment 0.00 μB/atom.